1.
First-principles (PBE) data for CsCuHgTe2 after structural relaxation, as listed in OQMD.

```
5
Lattice="-4.2483 2.0132 7.2479 0.1334 6.4731 5.7195 -0.1505 -2.6675 -8.2155" Properties=species:S:1:pos:R:3 pbc="T T T"
Te -2.6452 5.4555 8.3362
Cu -3.2281 1.7944 2.7580
Cs 0.0000 0.0000 0.0000
Te -1.4696 3.0308 4.6312
Hg -1.0372 4.0244 1.9939
```

Results
Crystal system = tetragonal
SG = No. 119


2.
First-principles (PBE) data for Cs2CuHgTe2 after structural relaxation, as listed in OQMD.

```
6
Lattice="7.2931 -2.2961 0.0000 7.2931 2.2961 0.0000 -6.5833 0.0000 7.2598" Properties=species:S:1:pos:R:3 pbc="T T T"
Cs 1.8002 0.0000 1.5643
Hg -2.5640 0.0000 2.8296
Te 5.9297 0.0000 1.5063
Te 2.3073 0.0000 5.4947
Cs 6.2681 0.0000 5.6236
Cu 10.2673 0.0000 4.7609
```

Results
Crystal system = orthorhombic
SG = No. 44


Computed uncorrected energy, in the same sequence as the records: -2.611 -2.571 eV per atom.